The following is a PBE+U calculation of a relaxed structure of K2TmNi3F12, from the Alexandria database.

The structure in CIF format:
```
data_K2TmNi3F12
_cell_length_a 7.3080
_cell_length_b 7.3080
_cell_length_c 18.3088
_cell_angle_alpha 90.00
_cell_angle_beta 90.00
_cell_angle_gamma 120.00
_space_group_name_H-M_alt 'R -3 m'
_space_group_IT_number 166
_space_group_name_Hall '-R 3 2"'
loop_
_atom_site_label
_atom_site_type_symbol
_atom_site_fract_x
_atom_site_fract_y
_atom_site_fract_z
K1 K 0.0000 0.0000 0.1186
Tm1 Tm 0.0000 0.0000 0.5000
Ni1 Ni 0.0000 0.5000 0.0000
F1 F 0.0372 0.5186 0.1094
F2 F 0.0711 0.5355 0.3442
```

Computed properties:
E_tot	-4.703	eV per atom